## one
PBE-GGA Cu2NiSe3, relaxed; SG = C2/m
1.0
9.1547 -1.8687 0.0000
9.1547 1.8687 0.0000
-0.4069 0.0000 6.3771
Cu Ni Se
4 2 6
Direct
0.0373 0.0373 0.1710
0.7104 0.7104 0.4276
0.2896 0.2896 0.5724
0.9627 0.9627 0.8290
0.6540 0.6540 0.0409
0.3460 0.3460 0.9591
0.9029 0.9029 0.1542
0.2456 0.2456 0.2005
0.5820 0.5820 0.3680
0.4180 0.4180 0.6320
0.7544 0.7544 0.7995
0.0971 0.0971 0.8458



## two
PBE-GGA Cu2NiSe3, relaxed; SG = P2_1/m
1.0
6.8501 0.0000 0.0000
0.0000 3.6144 0.0000
-2.0825 0.0000 9.1016
Cu Ni Se
4 2 6
Direct
0.7105 0.7500 0.2129
0.8977 0.2500 0.4121
0.1023 0.7500 0.5879
0.2895 0.2500 0.7871
0.4469 0.2500 0.0776
0.5531 0.7500 0.9224
0.7669 0.2500 0.0061
0.0748 0.7500 0.3213
0.5382 0.2500 0.3324
0.4618 0.7500 0.6676
0.9252 0.2500 0.6787
0.2331 0.7500 0.9939



Most stable to least stable: one, two



## one
PBE-GGA SrCuSiNi, relaxed; SG = P-3m1
1.0
4.0900 0.0000 0.0000
-2.0450 3.5420 0.0000
0.0000 0.0000 10.5292
Cu Ni Si Sr
2 2 2 2
Direct
0.6667 0.3333 0.4620
0.3333 0.6667 0.5380
0.6667 0.3333 0.0354
0.3333 0.6667 0.9646
0.0000 0.0000 0.0000
0.0000 0.0000 0.5000
0.3333 0.6667 0.2443
0.6667 0.3333 0.7557



## two
PBE-GGA SrCuSiNi, relaxed; SG = P6_3mc
1.0
4.1051 0.0000 0.0000
-2.0526 3.5552 0.0000
0.0000 0.0000 10.5141
Cu Ni Si Sr
2 2 2 2
Direct
0.3333 0.6667 0.0386
0.6667 0.3333 0.5386
0.3333 0.6667 0.4687
0.6667 0.3333 0.9687
0.0000 0.0000 0.4896
0.0000 0.0000 0.9896
0.6667 0.3333 0.2531
0.3333 0.6667 0.7531



Most stable to least stable: two, one